No. 1
DFT (PBE-GGA) results for a relaxed structure of Ta2CdGeSb.

a = 5.1159 Å, b = 5.1159 Å, c = 5.2446 Å
α = 90.00°, β = 90.00°, γ = 90.00°
Positions (direct):
Ta 0.0000 0.5000 0.0000
Ta 0.5000 0.0000 0.0000
Cd 0.0000 0.0000 0.5000
Ge 0.5000 0.5000 0.5000
Sb 0.5000 0.5000 0.0000

Results
- Final energy: -25.345 eV per cell
- Energy relative to the elements, uncorrected: 1.603 eV per atom
- Total magnetization: 0.00 μB per cell

No. 2
DFT (PBE-GGA) results for a relaxed structure of BiPdPbAu.

a = 4.4462 Å, b = 4.4462 Å, c = 6.1484 Å
α = 109.32°, β = 109.32°, γ = 63.95°
Positions (direct):
Bi 0.0000 0.0000 0.0000
Pd 0.6006 0.6006 0.8298
Pb 0.7680 0.7680 0.3957
Au 0.1902 0.1902 0.6255

Results
- Distance to the lowest polymorph of the same formula: 0 meV/atom
- Final energy: -16.521 eV per cell
- Total magnetization: 0.00 μB per cell

No. 3
DFT (PBE-GGA) results for a relaxed structure of BaTc4W.

a = 5.3640 Å, b = 5.3640 Å, c = 5.3640 Å
α = 60.00°, β = 60.00°, γ = 60.00°
Positions (direct):
Ba 0.0000 0.0000 0.0000
Tc 0.1279 0.6240 0.6240
Tc 0.6240 0.1279 0.6240
Tc 0.6240 0.6240 0.1279
Tc 0.6240 0.6240 0.6240
W 0.2500 0.2500 0.2500

Results
- Final energy: -50.719 eV per cell
- Total magnetization: 0.00 μB per cell

No. 4
DFT (PBE-GGA) results for a relaxed structure of CeY2NpP4.

a = 6.9554 Å, b = 4.0138 Å, c = 6.9649 Å
α = 90.00°, β = 109.47°, γ = 90.00°
Positions (direct):
Ce 0.0000 0.0000 0.0000
Y 0.0000 0.5000 0.5000
Y 0.5000 0.0000 0.5000
Np 0.5000 0.5000 0.0000
P 0.2539 0.5000 0.2495
P 0.2557 0.0000 0.7534
P 0.7443 0.0000 0.2466
P 0.7461 0.5000 0.7505

Results
- Final energy: -64.653 eV per cell
- Total magnetization: 4.25 μB per cell

No. 5
DFT (PBE-GGA) results for a relaxed structure of SrCeMgGa.

a = 5.4694 Å, b = 5.4694 Å, c = 5.4694 Å
α = 60.00°, β = 60.00°, γ = 60.00°
Positions (direct):
Sr 0.0000 0.0000 0.0000
Ce 0.5000 0.5000 0.5000
Mg 0.2500 0.2500 0.2500
Ga 0.7500 0.7500 0.7500

Results
- Final energy: -12.723 eV per cell
- Total magnetization: 1.13 μB per cell

No. 6
DFT (PBE-GGA) results for a relaxed structure of Tl3Cu2AuCl9.

a = 7.0013 Å, b = 7.0013 Å, c = 8.5944 Å
α = 90.00°, β = 90.00°, γ = 120.00°
Positions (direct):
Tl 0.0000 0.0000 0.0000
Tl 0.3333 0.6667 0.6796
Tl 0.6667 0.3333 0.3204
Cu 0.3333 0.6667 0.1601
Cu 0.6667 0.3333 0.8399
Au 0.0000 0.0000 0.5000
Cl 0.0000 0.5000 0.0000
Cl 0.1714 0.3428 0.3276
Cl 0.1714 0.8286 0.3276
Cl 0.3428 0.1714 0.6724
Cl 0.5000 0.0000 0.0000
Cl 0.5000 0.5000 0.0000
Cl 0.6572 0.8286 0.3276
Cl 0.8286 0.1714 0.6724
Cl 0.8286 0.6572 0.6724

Results
- Final energy: -44.867 eV per cell
- Energy relative to the elements, uncorrected: -0.645 eV per atom
- Total magnetization: 0.00 μB per cell

No. 7
DFT (PBE-GGA) results for a relaxed structure of LiPa2P3Rh4.

a = 3.9058 Å, b = 3.9058 Å, c = 10.5757 Å
α = 90.00°, β = 90.00°, γ = 90.00°
Positions (direct):
Li 0.0000 0.0000 0.0000
Pa 0.0000 0.5000 0.7491
Pa 0.5000 0.0000 0.2509
P 0.0000 0.5000 0.3686
P 0.5000 0.0000 0.6314
P 0.5000 0.5000 0.0000
Rh 0.0000 0.0000 0.5000
Rh 0.0000 0.5000 0.1511
Rh 0.5000 0.0000 0.8489
Rh 0.5000 0.5000 0.5000

Results
- Final energy: -76.173 eV per cell
- Total magnetization: 0.00 μB per cell

No. 8
DFT (PBE-GGA) results for a relaxed structure of B3SbPb.

a = 4.6462 Å, b = 4.6462 Å, c = 4.6462 Å
α = 90.00°, β = 90.00°, γ = 90.00°
Positions (direct):
B 0.0000 0.0000 0.5000
B 0.0000 0.5000 0.0000
B 0.5000 0.0000 0.0000
Sb 0.5000 0.5000 0.5000
Pb 0.0000 0.0000 0.0000

Results
- Distance to the lowest polymorph of the same formula: 403 meV/atom
- Final energy: -16.213 eV per cell
- Energy relative to the elements, uncorrected: 2.330 eV per atom
- Total magnetization: 0.00 μB per cell

No. 9
DFT (PBE-GGA) results for a relaxed structure of Ru3Rh.

a = 2.7309 Å, b = 2.7309 Å, c = 8.6564 Å
α = 90.00°, β = 90.00°, γ = 120.00°
Positions (direct):
Ru 0.0000 0.0000 0.0000
Ru 0.3333 0.6667 0.2444
Ru 0.3333 0.6667 0.7556
Rh 0.0000 0.0000 0.5000

Results
- Final energy: -35.153 eV per cell
- Total magnetization: 0.00 μB per cell

No. 10
DFT (PBE-GGA) results for a relaxed structure of BaScZn.

a = 4.8924 Å, b = 4.8924 Å, c = 7.7318 Å
α = 90.00°, β = 90.00°, γ = 90.00°
Positions (direct):
Ba 0.2500 0.2500 0.1344
Ba 0.7500 0.7500 0.8656
Sc 0.2500 0.7500 0.5000
Sc 0.7500 0.2500 0.5000
Zn 0.2500 0.2500 0.6908
Zn 0.7500 0.7500 0.3092

Results
- Distance to the lowest polymorph of the same formula: 0 meV/atom
- Final energy: -19.558 eV per cell
- Total magnetization: 0.00 μB per cell

No. 11
DFT (PBE-GGA) results for a relaxed structure of K6Hg3Pd.

a = 10.2894 Å, b = 7.0181 Å, c = 14.7106 Å
α = 90.00°, β = 133.12°, γ = 90.00°
Positions (direct):
K 0.1000 0.1007 0.4345
K 0.1000 0.3993 0.9345
K 0.2511 0.5736 0.4297
K 0.2511 0.9264 0.9297
K 0.3879 0.7352 0.7359
K 0.3879 0.7648 0.2359
K 0.6121 0.2352 0.7641
K 0.6121 0.2648 0.2641
K 0.7489 0.0736 0.0703
K 0.7489 0.4264 0.5703
K 0.9000 0.6007 0.0655
K 0.9000 0.8993 0.5655
Hg 0.2123 0.2027 0.2256
Hg 0.2123 0.2973 0.7256
Hg 0.5000 0.0000 0.5000
Hg 0.5000 0.5000 0.0000
Hg 0.7877 0.7027 0.2744
Hg 0.7877 0.7973 0.7744
Pd 0.0000 0.0000 0.0000
Pd 0.0000 0.5000 0.5000

Results
- Final energy: -27.845 eV per cell
- Total magnetization: 0.00 μB per cell

No. 12
DFT (PBE-GGA) results for a relaxed structure of Al2CoN.

a = 4.9693 Å, b = 4.9693 Å, c = 4.9693 Å
α = 106.61°, β = 106.61°, γ = 115.37°
Positions (direct):
Al 0.0497 0.6250 0.9247
Al 0.3750 0.2997 0.4247
Al 0.7003 0.1250 0.0753
Al 0.8750 0.9503 0.5753
Co 0.2500 0.7500 0.5000
Co 0.5000 0.5000 0.0000
N 0.0000 0.0000 0.0000
N 0.7500 0.2500 0.5000

Results
- Final energy: -47.237 eV per cell
- Energy relative to the elements, uncorrected: -0.176 eV per atom
- Total magnetization: 0.00 μB per cell

No. 13
DFT (PBE-GGA) results for a relaxed structure of PrDy2In9.

a = 4.6727 Å, b = 4.6727 Å, c = 14.0014 Å
α = 90.00°, β = 90.00°, γ = 90.00°
Positions (direct):
Pr 0.0000 0.0000 0.0000
Dy 0.0000 0.0000 0.3354
Dy 0.0000 0.0000 0.6646
In 0.0000 0.5000 0.1711
In 0.0000 0.5000 0.5000
In 0.0000 0.5000 0.8289
In 0.5000 0.0000 0.1711
In 0.5000 0.0000 0.5000
In 0.5000 0.0000 0.8289
In 0.5000 0.5000 0.0000
In 0.5000 0.5000 0.3344
In 0.5000 0.5000 0.6656

Results
- Final energy: -43.830 eV per cell
- Total magnetization: 0.00 μB per cell

No. 14
DFT (PBE-GGA) results for a relaxed structure of CeDy4Os2.

a = 7.7894 Å, b = 6.3447 Å, c = 8.0236 Å
α = 90.00°, β = 113.47°, γ = 90.00°
Positions (direct):
Ce 0.0393 0.2500 0.1683
Ce 0.9607 0.7500 0.8317
Dy 0.2413 0.5030 0.5839
Dy 0.2413 0.9970 0.5839
Dy 0.3271 0.7500 0.2485
Dy 0.3818 0.2500 0.0145
Dy 0.6182 0.7500 0.9855
Dy 0.6729 0.2500 0.7515
Dy 0.7587 0.0030 0.4161
Dy 0.7587 0.4970 0.4161
Os 0.0199 0.2500 0.7413
Os 0.4018 0.2500 0.3669
Os 0.5982 0.7500 0.6331
Os 0.9801 0.7500 0.2587

Results
- Final energy: -95.574 eV per cell
- Total magnetization: 0.95 μB per cell

No. 15
DFT (PBE-GGA) results for a relaxed structure of ErBe2Pt5.

a = 6.1688 Å, b = 6.1688 Å, c = 6.1688 Å
α = 143.67°, β = 115.46°, γ = 76.38°
Positions (direct):
Er 0.0000 0.0000 0.0000
Be 0.2681 0.7681 0.5000
Be 0.7319 0.2319 0.5000
Pt 0.1413 0.3512 0.7900
Pt 0.4388 0.6488 0.7900
Pt 0.5000 0.0000 0.5000
Pt 0.5612 0.3512 0.2100
Pt 0.8587 0.6488 0.2100

Results
- Final energy: -48.812 eV per cell
- Total magnetization: 0.00 μB per cell

No. 16
DFT (PBE-GGA) results for a relaxed structure of Na8Sn2Pb.

a = 8.0743 Å, b = 8.0743 Å, c = 6.5608 Å
α = 99.32°, β = 99.32°, γ = 88.47°
Positions (direct):
Na 0.1444 0.6896 0.7301
Na 0.2760 0.2760 0.6245
Na 0.3104 0.8556 0.2699
Na 0.3986 0.3986 0.1900
Na 0.6014 0.6014 0.8100
Na 0.6896 0.1444 0.7301
Na 0.7240 0.7240 0.3755
Na 0.8556 0.3104 0.2699
Sn 0.1211 0.1211 0.9862
Sn 0.8789 0.8789 0.0138
Pb 0.0000 0.0000 0.5000

Results
- Distance to the lowest polymorph of the same formula: 154 meV/atom
- Final energy: -21.929 eV per cell
- Total magnetization: 0.00 μB per cell

No. 17
DFT (PBE-GGA) results for a relaxed structure of CaZnRe2.

a = 4.5984 Å, b = 4.5984 Å, c = 4.5984 Å
α = 123.11°, β = 118.10°, γ = 89.02°
Positions (direct):
Ca 0.0000 0.0000 0.0000
Zn 0.7374 0.2374 0.5000
Re 0.2709 0.7709 0.5000
Re 0.4824 0.4824 0.0000

Results
- Final energy: -26.528 eV per cell
- Total magnetization: 0.00 μB per cell

No. 18
DFT (PBE-GGA) results for a relaxed structure of LaHo2Cd4.

a = 8.3678 Å, b = 8.3678 Å, c = 8.3678 Å
α = 143.26°, β = 143.26°, γ = 52.94°
Positions (direct):
La 0.0000 0.0000 0.0000
Ho 0.2540 0.2540 0.0000
Ho 0.7460 0.7460 0.0000
Cd 0.1278 0.6278 0.5000
Cd 0.3722 0.8722 0.5000
Cd 0.6278 0.1278 0.5000
Cd 0.8722 0.3722 0.5000

Results
- Final energy: -18.699 eV per cell
- Total magnetization: 0.00 μB per cell

No. 19
DFT (PBE-GGA) results for a relaxed structure of Li2Nd2TmIn5.

a = 10.3153 Å, b = 10.3153 Å, c = 4.5308 Å
α = 90.00°, β = 90.00°, γ = 90.00°
Positions (direct):
Li 0.1161 0.3839 0.0000
Li 0.3839 0.8839 0.0000
Li 0.6161 0.1161 0.0000
Li 0.8839 0.6161 0.0000
Nd 0.1784 0.6784 0.0000
Nd 0.3216 0.1784 0.0000
Nd 0.6784 0.8216 0.0000
Nd 0.8216 0.3216 0.0000
Tm 0.0000 0.0000 0.0000
Tm 0.5000 0.5000 0.0000
In 0.0000 0.5000 0.5000
In 0.0672 0.2100 0.5000
In 0.2100 0.9328 0.5000
In 0.2900 0.4328 0.5000
In 0.4328 0.7100 0.5000
In 0.5000 0.0000 0.5000
In 0.5672 0.2900 0.5000
In 0.7100 0.5672 0.5000
In 0.7900 0.0672 0.5000
In 0.9328 0.7900 0.5000

Results
- Final energy: -71.407 eV per cell
- Total magnetization: 0.00 μB per cell

No. 20
DFT (PBE-GGA) results for a relaxed structure of AlPIr2.

a = 4.0721 Å, b = 4.0721 Å, c = 3.3220 Å
α = 90.00°, β = 90.00°, γ = 90.00°
Positions (direct):
Al 0.0000 0.0000 0.0000
P 0.5000 0.5000 0.0000
Ir 0.0000 0.5000 0.5000
Ir 0.5000 0.0000 0.5000

Results
- Distance to the lowest polymorph of the same formula: 112 meV/atom
- Final energy: -28.129 eV per cell
- Total magnetization: 0.00 μB per cell